Record 1
## DyZrCoTc (PBE-GGA)

Data for a relaxed structure of DyZrCoTc.

Cell lengths 4.674, 4.674, 4.674 Å; angles 60.00, 60.00, 60.00 degrees
Sites, in units of the cell vectors:
Co 0.250 0.250 0.250
Tc 0.750 0.750 0.750
Zr 0.000 0.000 0.000
Dy 0.500 0.500 0.500

Record 2
## TaCr3Au (PBE-GGA)

Data for a relaxed structure of TaCr3Au.

Cell lengths 4.807, 4.807, 4.807 Å; angles 90.00, 90.00, 90.00 degrees
Sites, in units of the cell vectors:
Au 0.000 0.000 0.000
Cr 0.000 0.000 0.500
Cr 0.500 0.000 0.000
Ta 0.500 0.500 0.500
Cr 0.000 0.500 0.000

Values from the calculation:
ΔE to the lowest computed polymorph	0.0	meV/atom

Record 3
## Zr3V3C (PBE-GGA)

Data for a relaxed structure of Zr3V3C.

Cell lengths 8.663, 8.663, 8.663 Å; angles 60.00, 60.00, 60.00 degrees
Sites, in units of the cell vectors:
V 0.625 0.125 0.625
Zr 0.059 0.441 0.441
C 0.125 0.625 0.125
V 0.625 0.625 0.625
Zr 0.059 0.059 0.441
Zr 0.441 0.059 0.441
C 0.625 0.125 0.125
Zr 0.809 0.191 0.809
V 0.424 0.424 0.424
V 0.826 0.826 0.826
V 0.625 0.625 0.125
C 0.125 0.125 0.125
Zr 0.441 0.059 0.059
V 0.424 0.729 0.424
V 0.826 0.521 0.826
V 0.521 0.826 0.826
Zr 0.441 0.441 0.059
V 0.424 0.424 0.729
Zr 0.191 0.191 0.809
Zr 0.809 0.809 0.191
V 0.826 0.826 0.521
C 0.125 0.125 0.625
V 0.125 0.625 0.625
V 0.729 0.424 0.424
Zr 0.191 0.809 0.191
Zr 0.809 0.191 0.191
Zr 0.191 0.809 0.809
Zr 0.059 0.441 0.059

Record 4
## MgTl2OsPt (PBE-GGA)

Data for a relaxed structure of MgTl2OsPt.

Cell lengths 5.307, 4.888, 5.307 Å; angles 90.00, 90.00, 90.00 degrees
Sites, in units of the cell vectors:
Tl 0.000 0.000 0.500
Os 0.000 0.500 0.000
Pt 0.000 0.000 0.000
Tl 0.500 0.000 0.000
Mg 0.500 0.500 0.500

Record 5
## CaPt2 (PBE-GGA)

Data for a relaxed structure of CaPt2.

Cell lengths 7.345, 5.393, 5.713 Å; angles 90.00, 90.00, 90.32 degrees
Sites, in units of the cell vectors:
Pt 0.673 0.160 0.711
Ca 0.638 0.653 0.541
Pt 0.993 0.507 0.211
Pt 0.353 0.899 0.803
Pt 0.353 0.399 0.947
Pt 0.314 0.268 0.447
Ca 0.029 0.514 0.709
Pt 0.673 0.660 0.039
Ca 0.638 0.153 0.209
Pt 0.993 0.007 0.539
Pt 0.314 0.768 0.303
Ca 0.029 0.014 0.041

Density of states at the Fermi level list, top to bottom, in states/eV/atom: 1.06 0.71 1.17 1.02 0.22
Energy list, top to bottom, in Ry per atom: -0.5738 -0.5174 -0.6675 -0.2731 -0.3902